Entry 1:
The following is a DFT calculation (PBE) of an optimized crystal structure of PaTcGe2.

abc: 4.6832 4.6832 4.6832
angles: 60.00 60.00 60.00
Atoms (fractional coordinates):
1 Ge 0.2500 0.2500 0.2500
2 Ge 0.7500 0.7500 0.7500
3 Pa 0.0000 0.0000 0.0000
4 Tc 0.5000 0.5000 0.5000

Results
Polymorph energy (0 for the lowest one) (eV per formula unit): 0.69
Symmetry: Fm-3m (225)
ΔH_f (0 K) (meV per atom): -262

***

Entry 2:
The following is a DFT calculation (PBE) of an optimized crystal structure of Tb3InP.

abc: 5.2742 5.2742 5.2742
angles: 90.00 90.00 90.00
Atoms (fractional coordinates):
1 P 0.0000 0.0000 0.0000
2 Tb 0.0000 0.5000 0.0000
3 Tb 0.0000 0.0000 0.5000
4 Tb 0.5000 0.0000 0.0000
5 In 0.5000 0.5000 0.5000

Results
Symmetry: Pm-3m (221)
ΔH_f (0 K) (meV per atom): -718

***

Entry 3:
The following is a DFT calculation (PBE) of an optimized crystal structure of MgBr4.

abc: 5.3013 5.3013 5.3013
angles: 90.00 90.00 90.00
Atoms (fractional coordinates):
1 Mg 0.5000 0.5000 0.5000
2 Br 0.0000 0.0000 0.0000
3 Br 0.5000 0.0000 0.5000
4 Br 0.0000 0.5000 0.5000
5 Br 0.5000 0.5000 0.0000

Results
Formation energy from raw total energies (eV per atom): -0.4623
Symmetry: Pm-3m (221)

***

Number 1: ρ 10.84 Mg/m³. Number 2: ρ 7.05 Mg/m³. Number 3: ρ 3.83 Mg/m³.